Pr2Er2CCl5 (PBE-GGA, relaxed); calculated total energy = -53.94 eV for the cell shown
1.0
8.622 -1.909 0.000
8.622 1.909 0.000
-1.775 0.000 8.065
Pr Er C Cl
2 2 1 5
direct
0.002 0.002 0.286
0.998 0.998 0.714
0.359 0.359 0.428
0.641 0.641 0.572
0.500 0.500 0.500
0.169 0.169 0.806
0.177 0.177 0.362
0.500 0.500 0.000
0.823 0.823 0.638
0.831 0.831 0.194

---

SmErC2Cl2 (PBE-GGA, relaxed); calculated total energy = -77.62 eV for the cell shown
1.0
7.004 0.000 0.000
0.000 3.754 0.000
-0.987 0.000 10.659
Sm Er C Cl
2 2 4 4
direct
0.000 0.000 0.000
0.500 0.500 0.000
0.207 0.500 0.722
0.707 0.000 0.722
0.280 0.000 0.889
0.428 0.000 0.819
0.780 0.500 0.889
0.928 0.500 0.819
0.037 0.000 0.566
0.179 0.500 0.165
0.537 0.500 0.566
0.679 0.000 0.165

---

Y2Er2CCl5 (PBE-GGA, relaxed); calculated total energy = -57.47 eV for the cell shown
1.0
8.461 -1.850 0.000
8.461 1.850 0.000
-1.763 0.000 7.493
Y Er C Cl
2 2 1 5
direct
0.145 0.145 0.080
0.855 0.855 0.920
0.499 0.499 0.210
0.501 0.501 0.790
0.000 0.000 0.000
0.000 0.000 0.500
0.329 0.329 0.169
0.338 0.338 0.656
0.662 0.662 0.344
0.671 0.671 0.831

---

Ho4CCl3F2 (PBE-GGA, relaxed); calculated total energy = -57.50 eV for the cell shown
1.0
7.639 -1.812 0.000
7.639 1.812 0.000
-1.946 0.000 7.443
Ho C Cl F
4 1 3 2
direct
0.006 0.006 0.293
0.343 0.343 0.414
0.657 0.657 0.586
0.994 0.994 0.707
0.500 0.500 0.500
0.178 0.178 0.843
0.500 0.500 0.000
0.822 0.822 0.157
0.178 0.178 0.402
0.822 0.822 0.598

---

Ho4CCl4F (PBE-GGA, relaxed); calculated total energy = -55.26 eV for the cell shown
1.0
8.359 -1.788 0.000
8.359 1.788 0.000
-1.520 0.000 7.035
Ho C Cl F
4 1 4 1
direct
0.002 0.002 0.269
0.355 0.355 0.419
0.645 0.645 0.581
0.998 0.998 0.731
0.500 0.500 0.500
0.162 0.162 0.861
0.172 0.172 0.318
0.828 0.828 0.682
0.838 0.838 0.139
0.500 0.500 0.000

---

Ho2CClF (PBE-GGA, relaxed); calculated total energy = -31.97 eV for the cell shown
1.0
3.619 0.000 0.000
-1.809 3.134 0.000
0.000 0.000 7.916
Ho C Cl F
2 1 1 1
direct
0.000 0.000 0.000
0.333 0.667 0.660
0.667 0.333 0.838
0.333 0.667 0.231
0.000 0.000 0.535

---

Pr4CICl2F2 (PBE-GGA, relaxed); calculated total energy = -56.84 eV for the cell shown
1.0
7.973 -1.962 0.000
7.973 1.962 0.000
-3.070 0.000 8.346
Pr C I Cl F
4 1 1 2 2
direct
0.005 0.005 0.307
0.334 0.334 0.399
0.666 0.666 0.601
0.995 0.995 0.693
0.500 0.500 0.500
0.500 0.500 0.000
0.188 0.188 0.836
0.812 0.812 0.164
0.177 0.177 0.431
0.823 0.823 0.569

---

Sm4CICl2F2 (PBE-GGA, relaxed); calculated total energy = -56.77 eV for the cell shown
1.0
7.795 -1.912 0.000
7.795 1.912 0.000
-2.939 0.000 8.167
Sm C I Cl F
4 1 1 2 2
direct
0.003 0.003 0.308
0.336 0.336 0.404
0.664 0.664 0.596
0.997 0.997 0.692
0.500 0.500 0.500
0.500 0.500 0.000
0.189 0.189 0.833
0.811 0.811 0.167
0.177 0.177 0.427
0.823 0.823 0.573

---

Calculated magnetic moment in order - 0.01; 0.01; 0.12; 0.01; 0.01; 0.01; 0.01; 0.01 μB/f.u.